DFT (PBE+U) results for an optimized crystal structure of BaCrAgF6.

Values from the calculation:
* crystal system: trigonal
* uncorrected energy: -0.3944 Ry per atom

a = 5.3097 Å, b = 5.9166 Å, c = 5.9166 Å
α = 120.00°, β = 90.00°, γ = 90.00°
Closest atoms and distances in Å follow each position.
Positions (direct):
F 0.7105 0.2696 0.9958  1 Cr 1.96
F 0.2895 0.7262 0.9958  1 Cr 1.96
Ba 0.0000 0.3333 0.6667  6 F 2.65
Cr 0.5000 0.0000 0.0000  6 F 1.96
F 0.7105 0.0042 0.2738  1 Cr 1.96
F 0.2895 0.0042 0.7304  1 Cr 1.96
Ag 0.5000 0.6667 0.3333  6 F 2.46
F 0.7105 0.7262 0.7304  1 Cr 1.96
F 0.2895 0.2696 0.2738  1 Cr 1.96